Record 1
A plane-wave DFT calculation with PBE was carried out for CsRu2O6 after structural relaxation.

Properties
**DOS(E_F)**: 0.552 states/eV/atom
**E_form (uncorrected)**: -1.051 eV/atom
**Total moment**: 0.000 μB per atom
**Symmetry**: Fd-3m, No. 227
**Mass density**: 5.33 g/cm³

Structure (POSCAR):
```
CsRu2O6
1.0
-1.585 3.250 6.273
0.427 -3.705 6.206
5.266 1.478 4.744
O Ru Cs
12 4 2
direct
0.190 0.190 0.810
0.810 0.810 0.190
0.060 0.440 0.440
0.440 0.060 0.060
0.060 0.440 0.060
0.440 0.440 0.060
0.810 0.190 0.190
0.810 0.190 0.810
0.190 0.810 0.190
0.060 0.060 0.440
0.190 0.810 0.810
0.440 0.060 0.440
0.625 0.125 0.125
0.125 0.125 0.125
0.125 0.125 0.625
0.125 0.625 0.125
0.500 0.500 0.500
0.750 0.750 0.750
```

=====

Record 2
A plane-wave DFT calculation with PBE was carried out for Cs3RuO4 after structural relaxation.

Properties
**DOS(E_F)**: 0.119 states/eV/atom
**E_form (uncorrected)**: -1.272 eV/atom
**Total moment**: 0.130 μB per atom
**Symmetry**: Pnma, No. 62
**Mass density**: 4.73 g/cm³

Structure (POSCAR):
```
Cs3RuO4
1.0
-7.490 3.240 2.981
0.130 -6.125 6.985
4.967 6.404 5.523
Cs O Ru
12 16 4
direct
0.523 0.228 0.525
0.477 0.772 0.025
0.523 0.228 0.975
0.023 0.272 0.525
0.977 0.728 0.025
0.023 0.272 0.975
0.195 0.023 0.250
0.305 0.523 0.750
0.805 0.977 0.750
0.477 0.772 0.475
0.977 0.728 0.475
0.695 0.477 0.250
0.692 0.526 0.580
0.238 0.715 0.250
0.964 0.576 0.750
0.536 0.076 0.250
0.192 0.974 0.920
0.308 0.474 0.420
0.308 0.474 0.080
0.808 0.026 0.080
0.262 0.215 0.750
0.738 0.785 0.250
0.192 0.974 0.580
0.036 0.424 0.250
0.464 0.924 0.750
0.692 0.526 0.920
0.808 0.026 0.420
0.762 0.285 0.750
0.273 0.013 0.750
0.227 0.513 0.250
0.727 0.987 0.250
0.773 0.487 0.750
```

=====

Record 3
A plane-wave DFT calculation with PBE was carried out for CsRu2O8 after structural relaxation.

Properties
**DOS(E_F)**: 0.680 states/eV/atom
**E_form (uncorrected)**: -0.906 eV/atom
**Total moment**: 0.101 μB per atom
**Symmetry**: C2/m, No. 12
**Mass density**: 3.26 g/cm³

Structure (POSCAR):
```
CsRu2O8
1.0
-3.105 5.129 0.013
-2.033 -4.726 -3.668
-1.820 -1.120 7.522
O Ru Cs
8 2 1
direct
0.394 0.788 0.785
0.594 0.656 0.223
0.062 0.656 0.223
0.406 0.344 0.777
0.938 0.344 0.777
0.848 0.696 0.550
0.152 0.304 0.450
0.606 0.212 0.215
0.222 0.444 0.695
0.778 0.556 0.305
0.000 0.000 0.000
```

=====

Record 4
A plane-wave DFT calculation with PBE was carried out for Cs2RuO4 after structural relaxation.

Properties
**E_form (uncorrected)**: -1.299 eV/atom
**Total moment**: 0.286 μB per atom
**Symmetry**: Fmm2, No. 42
**Polymorph energy (0 for the lowest one)**: 40 meV/atom
**Mass density**: 3.07 g/cm³

Structure (POSCAR):
```
Cs2RuO4
1.0
-4.243 4.435 3.085
-4.280 -0.148 -5.371
1.814 -5.914 3.198
O Ru Cs
4 1 2
direct
0.045 0.257 0.000
0.955 0.744 0.699
0.743 0.955 0.000
0.256 0.045 0.301
0.000 0.000 0.000
0.251 0.749 0.500
0.751 0.249 0.500
```

=====

Record 5
A plane-wave DFT calculation with PBE was carried out for CsRuO2 after structural relaxation.

Properties
**DOS(E_F)**: 1.173 states/eV/atom
**E_form (uncorrected)**: 0.716 eV/atom
**Total moment**: 0.763 μB per atom
**Symmetry**: Fm-3m, No. 225
**Mass density**: 7.59 g/cm³

Structure (POSCAR):
```
CsRuO2
1.0
-2.121 -3.734 0.696
-3.446 -0.082 2.654
-3.991 -0.571 -1.634
Ru Cs O
1 1 2
direct
0.000 0.000 0.000
0.500 0.500 0.500
0.750 0.750 0.750
0.250 0.250 0.250
```

=====

Record 6
A plane-wave DFT calculation with PBE was carried out for CsRuO4 after structural relaxation.

Properties
**DOS(E_F)**: 0.967 states/eV/atom
**E_form (uncorrected)**: -1.132 eV/atom
**Total moment**: 0.170 μB per atom
**Symmetry**: Pnma, No. 62
**Mass density**: 3.64 g/cm³

Structure (POSCAR):
```
CsRuO4
1.0
-4.796 -4.238 0.361
5.503 -6.132 1.125
-0.488 1.412 10.087
Ru O Cs
4 16 4
direct
0.750 0.189 0.440
0.250 0.689 0.060
0.750 0.311 0.940
0.250 0.811 0.560
0.750 0.393 0.098
0.250 0.607 0.902
0.750 0.107 0.598
0.973 0.309 0.420
0.250 0.893 0.402
0.027 0.691 0.580
0.027 0.809 0.080
0.527 0.309 0.420
0.527 0.191 0.920
0.250 0.963 0.679
0.473 0.691 0.580
0.973 0.191 0.920
0.750 0.463 0.821
0.250 0.537 0.179
0.473 0.809 0.080
0.750 0.037 0.321
0.750 0.655 0.318
0.750 0.845 0.818
0.250 0.345 0.682
0.250 0.155 0.182
```

=====

Record 7
A plane-wave DFT calculation with PBE was carried out for Cs3RuO3 after structural relaxation.

Properties
**DOS(E_F)**: 0.054 states/eV/atom
**E_form (uncorrected)**: -1.150 eV/atom
**Total moment**: 0.144 μB per atom
**Symmetry**: P2_1/m, No. 11
**Mass density**: 4.79 g/cm³

Structure (POSCAR):
```
Cs3RuO3
1.0
-4.008 3.965 2.571
2.094 -2.517 7.146
5.179 5.923 -1.060
Cs O Ru
6 6 2
direct
0.750 0.884 0.101
0.250 0.183 0.418
0.750 0.817 0.582
0.250 0.588 0.813
0.750 0.412 0.187
0.250 0.116 0.899
0.750 0.525 0.814
0.750 0.193 0.483
0.250 0.807 0.517
0.250 0.862 0.138
0.250 0.475 0.186
0.750 0.138 0.862
0.250 0.703 0.291
0.750 0.297 0.709
```

=====

Record 8
A plane-wave DFT calculation with PBE was carried out for CsRu2O7 after structural relaxation.

Properties
**DOS(E_F)**: 0.503 states/eV/atom
**E_form (uncorrected)**: -0.681 eV/atom
**Total moment**: 0.000 μB per atom
**Symmetry**: Cmmm, No. 65
**Mass density**: 5.78 g/cm³

Structure (POSCAR):
```
CsRu2O7
1.0
-1.025 -2.382 -2.848
2.979 -4.650 2.817
-5.976 1.059 1.266
O Ru Cs
7 2 1
direct
0.000 0.310 0.690
0.500 0.343 0.031
0.500 0.969 0.657
0.500 0.657 0.969
0.500 0.500 0.500
0.500 0.031 0.343
0.000 0.690 0.310
0.500 0.310 0.690
0.500 0.690 0.310
0.000 0.000 0.000
```